1.
DFT (PBE) results for a relaxed AcTbPmZn crystal.

Lattice parameters (Å, degrees): 5.5785 5.5785 5.5785 60.00 60.00 60.00
Last column: nearest neighbours and their distance in Å.
Element x y z (fractional)
Ac1 0.0000 0.0000 0.0000  4 Tb 3.42, 4 Pm 3.42
Tb1 0.2500 0.2500 0.2500  4 Zn 3.42, 4 Ac 3.42
Pm1 0.7500 0.7500 0.7500  4 Zn 3.42, 4 Ac 3.42
Zn1 0.5000 0.5000 0.5000  4 Pm 3.42, 4 Tb 3.42

Calculated values
distance to the lowest polymorph of the same formula	0.288	eV/atom
E_form	161	meV/atom

2.
DFT (PBE) results for a relaxed V2FeB crystal.

Lattice parameters (Å, degrees): 6.5546 6.5546 6.5546 25.31 25.31 25.31
Last column: nearest neighbours and their distance in Å.
Element x y z (fractional)
V1 0.2330 0.2330 0.2330  3 B 2.08
V2 0.7670 0.7670 0.7670  3 B 2.08
Fe1 0.0000 0.0000 0.0000  6 V 2.53
B1 0.5000 0.5000 0.5000  6 V 2.08

Calculated values
E_form	-73	meV/atom

3.
DFT (PBE) results for a relaxed Pm6SmY4 crystal.

Lattice parameters (Å, degrees): 9.7484 9.7484 9.7484 139.57 139.57 58.50
Last column: nearest neighbours and their distance in Å.
Element x y z (fractional)
Pm1 0.0000 0.5000 0.5000  4 Y 3.26, 2 Sm 3.37
Pm2 0.0135 0.6360 0.0000  5 Y 3.40-3.66, 1 Sm 3.48, 1 Pm 3.60
Pm3 0.3640 0.3640 0.3774  5 Y 3.40-3.66, 1 Sm 3.48, 1 Pm 3.60
Pm4 0.5000 0.0000 0.5000  4 Y 3.26, 2 Sm 3.37
Pm5 0.6360 0.0135 0.0000  5 Y 3.40-3.66, 1 Sm 3.48, 1 Pm 3.60
Pm6 0.9865 0.9865 0.6226  5 Y 3.40-3.66, 1 Sm 3.48, 1 Pm 3.60
Sm1 0.0000 0.0000 0.0000  8 Pm 3.37-3.48, 4 Y 3.73
Y1 0.1971 0.1971 0.6438  5 Pm 3.26-3.52, 1 Y 3.39
Y2 0.4467 0.8029 0.0000  5 Pm 3.26-3.52, 1 Y 3.39
Y3 0.5533 0.5533 0.3562  5 Pm 3.26-3.52, 1 Y 3.39
Y4 0.8029 0.4467 0.0000  5 Pm 3.26-3.52, 1 Y 3.39

Calculated values
distance to the lowest polymorph of the same formula	0.202	eV/atom
E_form	315	meV/atom

4.
DFT (PBE) results for a relaxed MnHgPd2W crystal.

Lattice parameters (Å, degrees): 4.8738 4.8738 4.9915 90.00 90.00 90.00
Last column: nearest neighbours and their distance in Å.
Element x y z (fractional)
Mn1 0.0000 0.0000 0.0000  4 W 3.45, 8 Pd 3.49
Hg1 0.5000 0.5000 0.5000  4 Pd 2.44, 2 W 2.50
Pd1 0.0000 0.5000 0.5000  2 Hg 2.44
Pd2 0.5000 0.0000 0.5000  2 Hg 2.44
W1 0.5000 0.5000 0.0000  2 Hg 2.50

Calculated values
E_form	2458	meV/atom

5.
DFT (PBE) results for a relaxed Sc2SbTe crystal.

Lattice parameters (Å, degrees): 3.3802 3.3802 9.7256 90.00 90.00 95.81
Last column: nearest neighbours and their distance in Å.
Element x y z (fractional)
Sc1 0.0000 0.0000 0.0000  4 Sb 3.03-3.22, 6 Sc 3.34-3.38
Sc2 0.5000 0.5000 0.2529  4 Te 2.91-3.10
Sb1 0.5000 0.5000 0.7929  4 Sc 3.03-3.22, 4 Sb 3.38
Te1 0.0000 0.0000 0.4410  4 Sc 2.91-3.10

Calculated values
distance to the lowest polymorph of the same formula	0.643	eV/atom

6.
DFT (PBE) results for a relaxed AcHo2Fe crystal.

Lattice parameters (Å, degrees): 10.8263 10.8263 10.8263 19.56 19.56 19.56
Last column: nearest neighbours and their distance in Å.
Element x y z (fractional)
Ac1 0.0000 0.0000 0.0000  2 Ho 3.67, 6 Ac 3.68
Ho1 0.1154 0.1154 0.1154  3 Fe 2.68
Ho2 0.8846 0.8846 0.8846  3 Fe 2.68
Fe1 0.5000 0.5000 0.5000  6 Ho 2.68

Calculated values
distance to the lowest polymorph of the same formula	0.194	eV/atom
E_form	312	meV/atom

7.
DFT (PBE) results for a relaxed ErTi2Nb crystal.

Lattice parameters (Å, degrees): 3.4582 3.4582 6.8681 90.00 90.00 90.00
Last column: nearest neighbours and their distance in Å.
Element x y z (fractional)
Er1 0.0000 0.0000 0.0000  8 Ti 3.20, 2 Nb 3.43, 4 Er 3.46
Ti1 0.5000 0.5000 0.3016  1 Ti 2.73, 4 Nb 2.80
Ti2 0.5000 0.5000 0.6984  1 Ti 2.73, 4 Nb 2.80
Nb1 0.0000 0.0000 0.5000  8 Ti 2.80

Calculated values
distance to the lowest polymorph of the same formula	0.000	eV/atom
E_form	80	meV/atom

8.
DFT (PBE) results for a relaxed TbDy5In8 crystal.

Lattice parameters (Å, degrees): 7.9530 7.9530 7.9530 109.55 109.55 109.31
Last column: nearest neighbours and their distance in Å.
Element x y z (fractional)
Tb1 0.0000 0.0000 0.0000  8 In 3.19
Dy1 0.1197 0.4987 0.8728  8 In 3.16-3.20
Dy2 0.2500 0.7500 0.5000  8 In 3.16-3.19
Dy3 0.5013 0.3740 0.6209  8 In 3.16-3.20
Dy4 0.6260 0.2469 0.1272  8 In 3.16-3.20
Dy5 0.7531 0.8803 0.3791  8 In 3.16-3.20
In1 0.0468 0.2955 0.4208  5 Dy 3.16-3.18, 1 Tb 3.19, 3 In 3.40-3.44
In2 0.2108 0.1290 0.7523  5 Dy 3.17-3.20, 1 Tb 3.19, 3 In 3.38-3.44
In3 0.3740 0.9532 0.2487  5 Dy 3.16-3.18, 1 Tb 3.19, 3 In 3.40-3.44
In4 0.3767 0.4584 0.2477  5 Dy 3.17-3.20, 1 Tb 3.19, 3 In 3.38-3.44
In5 0.5416 0.7892 0.9182  5 Dy 3.17-3.20, 1 Tb 3.19, 3 In 3.38-3.44
In6 0.7045 0.1253 0.7513  5 Dy 3.16-3.18, 1 Tb 3.19, 3 In 3.40-3.44
In7 0.8710 0.6233 0.0818  5 Dy 3.17-3.20, 1 Tb 3.19, 3 In 3.38-3.44
In8 0.8747 0.6260 0.5792  5 Dy 3.16-3.18, 1 Tb 3.19, 3 In 3.40-3.44

Calculated values
E_form	-335	meV/atom

9.
DFT (PBE) results for a relaxed ZnIn3Hg4 crystal.

Lattice parameters (Å, degrees): 3.4376 3.4376 16.8438 90.00 90.00 90.00
Last column: nearest neighbours and their distance in Å.
Element x y z (fractional)
Zn1 0.0000 0.0000 0.0000  8 Hg 2.99
In1 0.0000 0.0000 0.2348  8 Hg 3.28-3.31, 4 In 3.44
In2 0.0000 0.0000 0.5000  8 Hg 3.30, 4 In 3.44
In3 0.0000 0.0000 0.7652  8 Hg 3.28-3.31, 4 In 3.44
Hg1 0.5000 0.5000 0.1038  4 Zn 2.99, 4 In 3.28
Hg2 0.5000 0.5000 0.3677  8 In 3.30-3.31, 4 Hg 3.44
Hg3 0.5000 0.5000 0.6323  8 In 3.30-3.31, 4 Hg 3.44
Hg4 0.5000 0.5000 0.8962  4 Zn 2.99, 4 In 3.28

Calculated values
E_form	38	meV/atom

10.
DFT (PBE) results for a relaxed Sr2Al crystal.

Lattice parameters (Å, degrees): 4.1870 4.1870 8.3010 90.00 90.00 120.00
Last column: nearest neighbours and their distance in Å.
Element x y z (fractional)
Sr1 0.3333 0.6667 0.2750  3 Al 3.32
Sr2 0.6667 0.3333 0.7250  3 Al 3.32
Al1 0.0000 0.0000 0.0000  6 Sr 3.32

Calculated values
E_form	91	meV/atom

11.
DFT (PBE) results for a relaxed LiInHg2 crystal.

Lattice parameters (Å, degrees): 9.7657 9.7657 9.7657 19.64 19.64 19.64
Last column: nearest neighbours and their distance in Å.
Element x y z (fractional)
Li1 0.0000 0.0000 0.0000  6 Hg 2.86
In1 0.5000 0.5000 0.5000  6 Hg 3.29, 6 In 3.33
Hg1 0.2597 0.2597 0.2597  3 Li 2.86
Hg2 0.7403 0.7403 0.7403  3 Li 2.86

Calculated values
E_form	-172	meV/atom

| no. | calculated density (g/cm3) | density of states at the Fermi level (states/eV/f.u.) |
| --- | --- | --- |
| 1 | 8.07 | 6.2 |
| 2 | 6.18 | 2.8 |
| 3 | 5.92 | 17.7 |
| 4 | 9.13 | 9.4 |
| 5 | 5.10 | 3.9 |
| 6 | 8.18 | 3.5 |
| 7 | 7.19 | 6.5 |
| 8 | 8.10 | 11.3 |
| 9 | 10.11 | 2.4 |
| 10 | 2.66 | 2.9 |
| 11 | 9.43 | 0.7 |